# 1
{"formula": "CrSb2Mo", "functional": "PBE-GGA", "state": "relaxed", "formation_energy_uncorrected_ev_per_atom": 0.325, "total_energy_ev_per_cell": -82.20, "polymorph_energy_mev_per_atom": 199, "volume_a3_per_cell": 267.43, "mass_density_g_cm3": 7.29, "cell": [[3.119, 0.000, 0.000], [-1.560, 2.701, 0.000], [0.000, 0.000, 31.742]], "species": ["Cr", "Cr", "Cr", "Sb", "Sb", "Sb", "Sb", "Sb", "Sb", "Mo", "Mo", "Mo"], "fractional_positions": [[0.000, 0.000, 0.000], [0.333, 0.667, 0.667], [0.667, 0.333, 0.333], [0.000, 0.000, 0.539], [0.000, 0.000, 0.734], [0.333, 0.667, 0.206], [0.333, 0.667, 0.400], [0.667, 0.333, 0.067], [0.667, 0.333, 0.872], [0.000, 0.000, 0.277], [0.333, 0.667, 0.944], [0.667, 0.333, 0.611]]}



# 2
{"formula": "Cr2SbMo", "functional": "PBE-GGA", "state": "relaxed", "formation_energy_uncorrected_ev_per_atom": 0.305, "total_energy_ev_per_cell": -32.98, "volume_a3_per_cell": 60.01, "mass_density_g_cm3": 8.90, "cell": [[3.195, 0.000, 0.000], [0.000, 3.195, 0.000], [0.000, 0.000, 5.881]], "species": ["Cr", "Cr", "Sb", "Mo"], "fractional_positions": [[0.000, 0.000, 0.238], [0.000, 0.000, 0.762], [0.500, 0.500, 0.500], [0.500, 0.500, 0.000]]}



# 3
{"formula": "CrSb2Mo", "functional": "PBE-GGA", "state": "relaxed", "formation_energy_uncorrected_ev_per_atom": 0.126, "total_energy_ev_per_cell": -28.20, "polymorph_energy_mev_per_atom": 0, "volume_a3_per_cell": 80.60, "mass_density_g_cm3": 8.06, "cell": [[3.169, 0.000, 0.000], [0.000, 3.169, 0.000], [0.000, 0.000, 8.027]], "species": ["Cr", "Sb", "Sb", "Mo"], "fractional_positions": [[0.000, 0.000, 0.000], [0.000, 0.000, 0.393], [0.500, 0.500, 0.786], [0.500, 0.500, 0.160]]}



# 4
{"formula": "CrSb2Mo", "functional": "PBE-GGA", "state": "relaxed", "formation_energy_uncorrected_ev_per_atom": 0.812, "total_energy_ev_per_cell": -101.81, "polymorph_energy_mev_per_atom": 686, "volume_a3_per_cell": 482.68, "mass_density_g_cm3": 5.39, "cell": [[6.378, 0.000, 0.000], [0.000, 6.378, 0.000], [0.000, 0.000, 11.866]], "species": ["Cr", "Cr", "Cr", "Cr", "Sb", "Sb", "Sb", "Sb", "Sb", "Sb", "Sb", "Sb", "Mo", "Mo", "Mo", "Mo"], "fractional_positions": [[0.000, 0.000, 0.000], [0.000, 0.500, 0.250], [0.500, 0.000, 0.750], [0.500, 0.500, 0.500], [0.244, 0.250, 0.625], [0.250, 0.744, 0.875], [0.250, 0.756, 0.375], [0.256, 0.250, 0.125], [0.744, 0.750, 0.125], [0.750, 0.244, 0.375], [0.750, 0.256, 0.875], [0.756, 0.750, 0.625], [0.000, 0.000, 0.500], [0.000, 0.500, 0.750], [0.500, 0.000, 0.250], [0.500, 0.500, 0.000]]}



# 5
{"formula": "Cr2SbMo", "functional": "PBE-GGA", "state": "relaxed", "formation_energy_uncorrected_ev_per_atom": 0.341, "total_energy_ev_per_cell": -32.84, "volume_a3_per_cell": 63.20, "mass_density_g_cm3": 8.45, "cell": [[3.258, 0.000, 0.000], [0.000, 3.258, 0.000], [0.000, 0.000, 5.955]], "species": ["Cr", "Cr", "Sb", "Mo"], "fractional_positions": [[0.000, 0.000, 0.000], [0.500, 0.500, 0.206], [0.500, 0.500, 0.725], [0.000, 0.000, 0.471]]}



# 6
{"formula": "CrSbMo4", "functional": "PBE-GGA", "state": "relaxed", "formation_energy_uncorrected_ev_per_atom": 0.498, "total_energy_ev_per_cell": -54.08, "volume_a3_per_cell": 103.39, "mass_density_g_cm3": 8.95, "cell": [[0.000, 3.725, 3.725], [3.725, 0.000, 3.725], [3.725, 3.725, 0.000]], "species": ["Cr", "Sb", "Mo", "Mo", "Mo", "Mo"], "fractional_positions": [[0.000, 0.000, 0.000], [0.250, 0.250, 0.250], [0.125, 0.625, 0.625], [0.625, 0.125, 0.625], [0.625, 0.625, 0.125], [0.625, 0.625, 0.625]]}



# 7
{"formula": "Cr2SbMo", "functional": "PBE-GGA", "state": "relaxed", "formation_energy_uncorrected_ev_per_atom": 0.278, "total_energy_ev_per_cell": -66.18, "volume_a3_per_cell": 123.95, "mass_density_g_cm3": 8.62, "cell": [[3.786, 0.000, 0.000], [0.000, 3.786, 0.000], [0.000, 0.000, 8.646]], "species": ["Cr", "Cr", "Cr", "Cr", "Sb", "Sb", "Mo", "Mo"], "fractional_positions": [[0.000, 0.000, 0.000], [0.000, 0.500, 0.250], [0.500, 0.000, 0.750], [0.500, 0.500, 0.500], [0.000, 0.000, 0.500], [0.500, 0.500, 0.000], [0.000, 0.500, 0.750], [0.500, 0.000, 0.250]]}



# 8
{"formula": "CrSb2Mo", "functional": "PBE-GGA", "state": "relaxed", "formation_energy_uncorrected_ev_per_atom": 0.481, "total_energy_ev_per_cell": -53.55, "polymorph_energy_mev_per_atom": 355, "volume_a3_per_cell": 154.84, "mass_density_g_cm3": 8.40, "cell": [[4.020, 0.000, 0.000], [0.000, 4.020, 0.000], [0.000, 0.000, 9.579]], "species": ["Cr", "Cr", "Sb", "Sb", "Sb", "Sb", "Mo", "Mo"], "fractional_positions": [[0.000, 0.000, 0.000], [0.500, 0.500, 0.500], [0.000, 0.000, 0.500], [0.000, 0.500, 0.250], [0.500, 0.000, 0.750], [0.500, 0.500, 0.000], [0.000, 0.500, 0.750], [0.500, 0.000, 0.250]]}



# 9
{"formula": "Cr2SbMo", "functional": "PBE-GGA", "state": "relaxed", "formation_energy_uncorrected_ev_per_atom": 0.525, "total_energy_ev_per_cell": -64.20, "volume_a3_per_cell": 123.93, "mass_density_g_cm3": 8.62, "cell": [[5.488, 0.000, 0.000], [0.000, 8.582, 0.000], [-1.160, 0.000, 2.631]], "species": ["Cr", "Cr", "Cr", "Cr", "Sb", "Sb", "Mo", "Mo"], "fractional_positions": [[0.250, 0.250, 0.000], [0.250, 0.750, 0.000], [0.750, 0.250, 0.000], [0.750, 0.750, 0.000], [0.000, 0.000, 0.500], [0.500, 0.500, 0.500], [0.000, 0.500, 0.500], [0.500, 0.000, 0.500]]}



# 10
{"formula": "CrSb4Mo", "functional": "PBE-GGA", "state": "relaxed", "formation_energy_uncorrected_ev_per_atom": 1.123, "total_energy_ev_per_cell": -30.20, "volume_a3_per_cell": 164.35, "mass_density_g_cm3": 6.42, "cell": [[0.000, 4.348, 4.348], [4.348, 0.000, 4.348], [4.348, 4.348, 0.000]], "species": ["Cr", "Sb", "Sb", "Sb", "Sb", "Mo"], "fractional_positions": [[0.000, 0.000, 0.000], [0.375, 0.375, 0.375], [0.375, 0.375, 0.876], [0.375, 0.876, 0.375], [0.876, 0.375, 0.375], [0.750, 0.750, 0.750]]}



# 11
{"formula": "CrSb2Mo", "functional": "PBE-GGA", "state": "relaxed", "formation_energy_uncorrected_ev_per_atom": 0.200, "total_energy_ev_per_cell": -55.79, "polymorph_energy_mev_per_atom": 75, "volume_a3_per_cell": 155.45, "mass_density_g_cm3": 8.36, "cell": [[4.352, 0.000, 0.000], [0.000, 3.580, 0.000], [0.000, 0.000, 9.979]], "species": ["Cr", "Cr", "Sb", "Sb", "Sb", "Sb", "Mo", "Mo"], "fractional_positions": [[0.000, 0.000, 0.000], [0.000, 0.500, 0.500], [0.000, 0.000, 0.280], [0.000, 0.500, 0.780], [0.500, 0.000, 0.571], [0.500, 0.500, 0.071], [0.500, 0.000, 0.859], [0.500, 0.500, 0.359]]}



# 12
{"formula": "Cr2SbMo", "functional": "PBE-GGA", "state": "relaxed", "formation_energy_uncorrected_ev_per_atom": 0.295, "total_energy_ev_per_cell": -132.09, "volume_a3_per_cell": 251.35, "mass_density_g_cm3": 8.50, "cell": [[6.311, 0.000, 0.000], [0.000, 6.311, 0.000], [0.000, 0.000, 6.311]], "species": ["Cr", "Cr", "Cr", "Cr", "Cr", "Cr", "Cr", "Cr", "Sb", "Sb", "Sb", "Sb", "Mo", "Mo", "Mo", "Mo"], "fractional_positions": [[0.000, 0.000, 0.000], [0.000, 0.500, 0.500], [0.250, 0.250, 0.250], [0.250, 0.750, 0.750], [0.500, 0.000, 0.500], [0.500, 0.500, 0.000], [0.750, 0.250, 0.750], [0.750, 0.750, 0.250], [0.250, 0.250, 0.750], [0.250, 0.750, 0.250], [0.750, 0.250, 0.250], [0.750, 0.750, 0.750], [0.000, 0.000, 0.500], [0.000, 0.500, 0.000], [0.500, 0.000, 0.000], [0.500, 0.500, 0.500]]}



# 13
{"formula": "Cr3SbMo", "functional": "PBE-GGA", "state": "relaxed", "formation_energy_uncorrected_ev_per_atom": 1.230, "total_energy_ev_per_cell": -37.67, "volume_a3_per_cell": 104.86, "mass_density_g_cm3": 5.92, "cell": [[4.716, 0.000, 0.000], [0.000, 4.716, 0.000], [0.000, 0.000, 4.716]], "species": ["Cr", "Cr", "Cr", "Sb", "Mo"], "fractional_positions": [[0.000, 0.000, 0.500], [0.000, 0.500, 0.000], [0.500, 0.000, 0.000], [0.500, 0.500, 0.500], [0.000, 0.000, 0.000]]}



# 14
{"formula": "CrSb2Mo", "functional": "PBE-GGA", "state": "relaxed", "formation_energy_uncorrected_ev_per_atom": 0.259, "total_energy_ev_per_cell": -55.33, "polymorph_energy_mev_per_atom": 133, "volume_a3_per_cell": 156.69, "mass_density_g_cm3": 8.30, "cell": [[3.594, 0.000, 0.000], [0.000, 3.650, 0.000], [0.000, 0.000, 11.943]], "species": ["Cr", "Cr", "Sb", "Sb", "Sb", "Sb", "Mo", "Mo"], "fractional_positions": [[0.000, 0.000, 0.000], [0.500, 0.500, 0.500], [0.000, 0.000, 0.567], [0.000, 0.500, 0.327], [0.500, 0.000, 0.827], [0.500, 0.500, 0.067], [0.000, 0.500, 0.736], [0.500, 0.000, 0.236]]}



# 15
{"formula": "Cr2SbMo", "functional": "PBE-GGA", "state": "relaxed", "formation_energy_uncorrected_ev_per_atom": 0.297, "total_energy_ev_per_cell": -33.01, "volume_a3_per_cell": 59.40, "mass_density_g_cm3": 8.99, "cell": [[4.288, 0.000, 0.000], [0.000, 4.288, 0.000], [0.000, 0.000, 3.230]], "species": ["Cr", "Cr", "Sb", "Mo"], "fractional_positions": [[0.000, 0.500, 0.000], [0.500, 0.000, 0.000], [0.000, 0.000, 0.500], [0.500, 0.500, 0.500]]}



# 16
{"formula": "CrSb2Mo", "functional": "PBE-GGA", "state": "relaxed", "formation_energy_uncorrected_ev_per_atom": 0.341, "total_energy_ev_per_cell": -27.33, "polymorph_energy_mev_per_atom": 215, "volume_a3_per_cell": 77.51, "mass_density_g_cm3": 8.39, "cell": [[3.279, 0.000, 0.000], [0.000, 5.176, 0.000], [0.000, 0.000, 4.566]], "species": ["Cr", "Sb", "Sb", "Mo"], "fractional_positions": [[0.000, 0.000, 0.000], [0.000, 0.500, 0.248], [0.500, 0.000, 0.518], [0.500, 0.500, 0.764]]}



# 17
{"formula": "Cr2SbMo", "functional": "PBE-GGA", "state": "relaxed", "formation_energy_uncorrected_ev_per_atom": 0.505, "total_energy_ev_per_cell": -96.54, "volume_a3_per_cell": 199.59, "mass_density_g_cm3": 8.03, "cell": [[3.072, 0.000, 0.000], [-1.536, 2.661, 0.000], [0.000, 0.000, 24.418]], "species": ["Cr", "Cr", "Cr", "Cr", "Cr", "Cr", "Sb", "Sb", "Sb", "Mo", "Mo", "Mo"], "fractional_positions": [[0.000, 0.000, 0.243], [0.000, 0.000, 0.757], [0.333, 0.667, 0.424], [0.333, 0.667, 0.909], [0.667, 0.333, 0.091], [0.667, 0.333, 0.576], [0.000, 0.000, 0.000], [0.333, 0.667, 0.667], [0.667, 0.333, 0.333], [0.000, 0.000, 0.500], [0.333, 0.667, 0.167], [0.667, 0.333, 0.833]]}



# 18
{"formula": "CrSb2Mo", "functional": "PBE-GGA", "state": "relaxed", "formation_energy_uncorrected_ev_per_atom": 0.663, "total_energy_ev_per_cell": -104.19, "polymorph_energy_mev_per_atom": 537, "volume_a3_per_cell": 311.68, "mass_density_g_cm3": 8.34, "cell": [[6.780, 0.000, 0.000], [0.000, 6.780, 0.000], [0.000, 0.000, 6.780]], "species": ["Cr", "Cr", "Cr", "Cr", "Sb", "Sb", "Sb", "Sb", "Sb", "Sb", "Sb", "Sb", "Mo", "Mo", "Mo", "Mo"], "fractional_positions": [[0.000, 0.000, 0.000], [0.000, 0.500, 0.500], [0.500, 0.000, 0.500], [0.500, 0.500, 0.000], [0.000, 0.000, 0.500], [0.000, 0.500, 0.000], [0.250, 0.250, 0.250], [0.250, 0.750, 0.750], [0.500, 0.000, 0.000], [0.500, 0.500, 0.500], [0.750, 0.250, 0.750], [0.750, 0.750, 0.250], [0.250, 0.250, 0.750], [0.250, 0.750, 0.250], [0.750, 0.250, 0.250], [0.750, 0.750, 0.750]]}



# 19
{"formula": "Cr4SbMo", "functional": "PBE-GGA", "state": "relaxed", "formation_energy_uncorrected_ev_per_atom": 0.189, "total_energy_ev_per_cell": -52.31, "volume_a3_per_cell": 82.07, "mass_density_g_cm3": 8.61, "cell": [[0.000, 3.449, 3.449], [3.449, 0.000, 3.449], [3.449, 3.449, 0.000]], "species": ["Cr", "Cr", "Cr", "Cr", "Sb", "Mo"], "fractional_positions": [[0.124, 0.124, 0.124], [0.124, 0.124, 0.627], [0.124, 0.627, 0.124], [0.627, 0.124, 0.124], [0.750, 0.750, 0.750], [0.500, 0.500, 0.500]]}



# 20
{"formula": "Cr2SbMo", "functional": "PBE-GGA", "state": "relaxed", "formation_energy_uncorrected_ev_per_atom": 0.533, "total_energy_ev_per_cell": -96.21, "volume_a3_per_cell": 188.32, "mass_density_g_cm3": 8.51, "cell": [[3.016, 0.000, 0.000], [-1.508, 2.612, 0.000], [0.000, 0.000, 23.901]], "species": ["Cr", "Cr", "Cr", "Cr", "Cr", "Cr", "Sb", "Sb", "Sb", "Mo", "Mo", "Mo"], "fractional_positions": [[0.000, 0.000, 0.000], [0.000, 0.000, 0.265], [0.333, 0.667, 0.667], [0.333, 0.667, 0.932], [0.667, 0.333, 0.333], [0.667, 0.333, 0.599], [0.000, 0.000, 0.508], [0.333, 0.667, 0.175], [0.667, 0.333, 0.841], [0.000, 0.000, 0.745], [0.333, 0.667, 0.411], [0.667, 0.333, 0.078]]}